Crystalline PtSN2O at its relaxed geometry, computed with PBE-GGA.

abc: 3.6744 3.6744 5.5751
angles: 90.00 90.00 90.00
Fractional coordinates of all 5 atoms:
S 0.0000 0.0000 0.5000
O 0.5000 0.5000 0.5000
Pt 0.0000 0.0000 0.0000
N 0.0000 0.5000 0.0000
N 0.5000 0.0000 0.0000

Results
DFT total energy in eV/atom: -4.65
ρ in g/cm³: 5.98
Symmetry: P4/mmm (123)